Entry 1:
ZnCu2Rh | PBE | optimized geometry

POSCAR file:
```
ZnCu2Rh
1.0
3.0365 0.0000 0.0000
0.0000 3.0365 0.0000
0.0000 0.0000 5.6436
Zn Cu Rh
1 2 1
Cartesian
0.0000 0.0000 0.0000
0.0000 0.0000 2.7296
1.5183 1.5183 1.4251
1.5183 1.5183 4.2093
```

Output
E, eV/atom: -4.331


Entry 2:
LiTcHg2 | PBE | optimized geometry

POSCAR file:
```
LiTcHg2
1.0
-2.0015 2.0015 4.4536
2.0015 -2.0015 4.4536
2.0015 2.0015 -4.4536
Li Tc Hg
1 1 2
Cartesian
0.0000 0.0000 0.0000
2.0015 0.0000 2.2268
0.0000 0.0000 4.4536
0.0000 2.0015 2.2268
```

Output
E, eV/atom: -2.803
ΔE to the lowest computed polymorph, meV/atom: 259.2


Entry 3:
MgZrSc | PBE | optimized geometry

POSCAR file:
```
MgZrSc
1.0
-1.6178 1.6178 6.6878
1.6178 -1.6178 6.6878
1.6178 1.6178 -6.6878
Mg Zr Sc
1 1 1
Cartesian
0.0000 0.0000 0.0000
0.0000 0.0000 8.9401
0.0000 0.0000 4.3690
```

Output
E, eV/atom: -5.542
ΔE to the lowest computed polymorph, meV/atom: 0.0


Entry 4:
NdGeAu3 | PBE | optimized geometry

POSCAR file:
```
NdGeAu3
1.0
6.1840 0.0000 0.0000
0.0000 6.1485 0.0000
-3.0835 0.0000 5.6742
Nd Ge Au
2 2 6
Cartesian
0.0064 1.5371 2.8248
3.0942 4.6114 2.8495
-0.0084 4.6114 1.3413
3.1089 1.5371 4.3329
1.6205 6.1469 0.0110
1.6205 3.0758 0.0110
-0.0012 4.6114 3.8111
3.1017 1.5371 1.8631
1.4800 0.0016 5.6633
1.4800 3.0727 5.6633
```

Output
E, eV/atom: -4.339
ΔE to the lowest computed polymorph, meV/atom: 23.1


no.,energy of formation from the pure elements (eV per atom),V (Å³ per cell)
1,-0.13,52.0
2,0.42,71.4
3,-0.05,70.0
4,-0.50,215.7